YNi2Se: optimized geometry, PBE. Values from VASP.

- Electronic total energy: -23.7 eV for the cell shown
- Raw formation energy: -2.16 eV/f.u.
- Total magnetization: 0.00 μB/f.u.
- Crystal system: monoclinic
- Mass density: 6.9 g/cm3

Structure (Quantum ESPRESSO input):
```
&SYSTEM
  ibrav = 0, nat = 4, ntyp = 3
/
ATOMIC_SPECIES
Y 88.91 Y.upf
Ni 58.69 Ni.upf
Se 78.96 Se.upf
ATOMIC_POSITIONS angstrom
Y 0.000 0.000 0.000
Ni 2.630 0.000 2.321
Ni 4.990 0.000 1.653
Se 0.288 0.000 2.913
CELL_PARAMETERS angstrom
3.694 -1.936 0.000
3.694 1.936 0.000
-2.137 0.000 4.778
```

Tl2CoRu: optimized geometry, PBE. Values from VASP.

- Electronic total energy: -18.3 eV for the cell shown
- Formation energy: 0.715 eV/atom
- Distance to the lowest polymorph of the same formula: 0.250 eV per atom
- Total magnetization: 2.36 μB/f.u.
- Crystal system: tetragonal
- Mass density: 13.0 g/cm3

Structure (Quantum ESPRESSO input):
```
&SYSTEM
  ibrav = 0, nat = 4, ntyp = 3
/
ATOMIC_SPECIES
Tl 204.38 Tl.upf
Co 58.93 Co.upf
Ru 101.07 Ru.upf
ATOMIC_POSITIONS angstrom
Tl 0.000 0.000 0.000
Tl 0.000 1.979 2.311
Co 1.979 0.000 2.311
Ru 0.000 0.000 4.622
CELL_PARAMETERS angstrom
-1.979 1.979 4.622
1.979 -1.979 4.622
1.979 1.979 -4.622
```

- Look up the mass density of the first one.
  6.9 g/cm3

- The highest electronic total energy belongs to which entry?
  Tl2CoRu